Record 1
# NbSbH2 | Alexandria via LeMat-Bulk | PBE | optimized geometry
data_NbSbH2
_chemical_formula_sum 'Nb4 Sb4 H8'
_symmetry_space_group_name_H-M 'I -4 2 d'
_symmetry_Int_Tables_number 122
_symmetry_space_group_name_Hall 'I -4 2bw'
_cell_length_a 4.290
_cell_length_b 4.290
_cell_length_c 11.514
_cell_angle_alpha 90.00
_cell_angle_beta 90.00
_cell_angle_gamma 90.00
loop_
_atom_site_label
_atom_site_fract_x
_atom_site_fract_y
_atom_site_fract_z
Nb1 0.000 0.000 0.000
Sb1 0.000 0.000 0.500
H1 0.004 0.250 0.125
# - electronic total energy (eV/atom) = -4.97



Record 2
# ErIn3Hg12 | Alexandria via LeMat-Bulk | PBE | optimized geometry
data_ErIn3Hg12
_chemical_formula_sum 'Er1 In3 Hg12'
_symmetry_space_group_name_H-M 'P m m m'
_symmetry_Int_Tables_number 47
_cell_length_a 4.213
_cell_length_b 4.777
_cell_length_c 20.583
_cell_angle_alpha 90.00
_cell_angle_beta 90.00
_cell_angle_gamma 90.00
loop_
_symmetry_equiv_pos_as_xyz
'x,y,z'
'-x,-y,-z'
'-x,-y,z'
'x,y,-z'
'x,-y,-z'
'-x,y,z'
'-x,y,-z'
'x,-y,z'
loop_
_atom_site_label
_atom_site_fract_x
_atom_site_fract_y
_atom_site_fract_z
Er1 0.000 0.000 0.000
In1 0.000 0.000 0.242
In2 0.000 0.000 0.500
Hg1 0.000 0.500 0.117
Hg2 0.000 0.500 0.371
Hg3 0.500 0.000 0.118
Hg4 0.500 0.000 0.369
Hg5 0.500 0.500 0.000
Hg6 0.500 0.500 0.244
Hg7 0.500 0.500 0.500
# - electronic total energy (eV/atom) = -1.10



Record 3
# SrAgSCl2 | Alexandria via LeMat-Bulk | PBE | optimized geometry
data_SrAgSCl2
_chemical_formula_sum 'Sr1 Ag1 S1 Cl2'
_symmetry_space_group_name_H-M 'P 4/m m m'
_symmetry_Int_Tables_number 123
_symmetry_space_group_name_Hall '-P 4 2'
_cell_length_a 5.556
_cell_length_b 5.556
_cell_length_c 5.857
_cell_angle_alpha 90.00
_cell_angle_beta 90.00
_cell_angle_gamma 90.00
loop_
_atom_site_label
_atom_site_fract_x
_atom_site_fract_y
_atom_site_fract_z
Sr1 0.000 0.000 0.000
Ag1 0.500 0.500 0.500
S1 0.000 0.000 0.500
Cl1 0.000 0.500 0.000
# - E_form (uncorrected) (eV per atom) = -0.664



Record 4
# VTc2Os5 | Alexandria via LeMat-Bulk | PBE | optimized geometry
data_VTc2Os5
_chemical_formula_sum 'V4 Tc8 Os20'
_symmetry_space_group_name_H-M 'F m m 2'
_symmetry_Int_Tables_number 42
_symmetry_space_group_name_Hall 'F 2 -2'
_cell_length_a 7.700
_cell_length_b 7.708
_cell_length_c 7.723
_cell_angle_alpha 90.00
_cell_angle_beta 90.00
_cell_angle_gamma 90.00
loop_
_atom_site_label
_atom_site_fract_x
_atom_site_fract_y
_atom_site_fract_z
V1 0.000 0.000 0.000
Tc1 0.248 0.000 0.750
Os1 0.000 0.000 0.506
Os2 0.000 0.249 0.751
Os3 0.250 0.250 0.002
# - electronic total energy (eV/atom) = -10.75



Record 5
# Sr2LaDyS4 | Alexandria via LeMat-Bulk | PBE | optimized geometry
data_Sr2LaDyS4
_chemical_formula_sum 'Sr2 La1 Dy1 S4'
_symmetry_space_group_name_H-M 'P 1 2/m 1'
_symmetry_Int_Tables_number 10
_cell_length_a 7.136
_cell_length_b 4.114
_cell_length_c 7.251
_cell_angle_alpha 90.00
_cell_angle_beta 109.06
_cell_angle_gamma 90.00
loop_
_symmetry_equiv_pos_as_xyz
'x,y,z'
'-x,-y,-z'
'-x,y,-z'
'x,-y,z'
loop_
_atom_site_label
_atom_site_fract_x
_atom_site_fract_y
_atom_site_fract_z
Sr1 0.000 0.000 0.000
Sr2 0.500 0.500 0.000
La1 0.000 0.500 0.500
Dy1 0.500 0.000 0.500
S1 0.257 0.000 0.739
S2 0.265 0.500 0.267
# - E_form (uncorrected) (eV per atom) = -2.063



Record 6
# SrLiRe2 | Alexandria via LeMat-Bulk | PBE | optimized geometry
data_SrLiRe2
_chemical_formula_sum 'Sr1 Li1 Re2'
_symmetry_space_group_name_H-M 'P 4 m m'
_symmetry_Int_Tables_number 99
_cell_length_a 3.191
_cell_length_b 3.191
_cell_length_c 7.894
_cell_angle_alpha 90.00
_cell_angle_beta 90.00
_cell_angle_gamma 90.00
loop_
_symmetry_equiv_pos_as_xyz
'x,y,z'
'-y,x,z'
'-x,-y,z'
'y,-x,z'
'-x,y,z'
'y,x,z'
'x,-y,z'
'-y,-x,z'
loop_
_atom_site_label
_atom_site_fract_x
_atom_site_fract_y
_atom_site_fract_z
Sr1 0.000 0.000 0.000
Li1 0.500 0.500 0.337
Re1 0.000 0.000 0.539
Re2 0.500 0.500 0.697
# - electronic total energy (eV/atom) = -6.68



Record 7
# Cs2LaAsOs | Alexandria via LeMat-Bulk | PBE | optimized geometry
data_Cs2LaAsOs
_chemical_formula_sum 'Cs2 La1 As1 Os1'
_symmetry_space_group_name_H-M 'P 4/m m m'
_symmetry_Int_Tables_number 123
_symmetry_space_group_name_Hall '-P 4 2'
_cell_length_a 7.461
_cell_length_b 7.461
_cell_length_c 5.495
_cell_angle_alpha 90.00
_cell_angle_beta 90.00
_cell_angle_gamma 90.00
loop_
_atom_site_label
_atom_site_fract_x
_atom_site_fract_y
_atom_site_fract_z
Cs1 0.000 0.500 0.000
La1 0.000 0.000 0.000
As1 0.000 0.000 0.500
Os1 0.500 0.500 0.500
# - electronic total energy (eV/atom) = -3.05



Record 8
# Zn2SiBiMo | Alexandria via LeMat-Bulk | PBE | optimized geometry
data_Zn2SiBiMo
_chemical_formula_sum 'Zn2 Si1 Bi1 Mo1'
_symmetry_space_group_name_H-M 'P 4/m m m'
_symmetry_Int_Tables_number 123
_symmetry_space_group_name_Hall '-P 4 2'
_cell_length_a 4.968
_cell_length_b 4.968
_cell_length_c 5.230
_cell_angle_alpha 90.00
_cell_angle_beta 90.00
_cell_angle_gamma 90.00
loop_
_atom_site_label
_atom_site_fract_x
_atom_site_fract_y
_atom_site_fract_z
Zn1 0.000 0.500 0.000
Si1 0.000 0.000 0.500
Bi1 0.500 0.500 0.500
Mo1 0.500 0.500 0.000
# - E_form (uncorrected) (eV per atom) = 1.077



Record 9
# K2Cd6InPd | Alexandria via LeMat-Bulk | PBE | optimized geometry
data_K2Cd6InPd
_chemical_formula_sum 'K4 Cd12 In2 Pd2'
_symmetry_space_group_name_H-M 'P m m n'
_symmetry_Int_Tables_number 59
_cell_length_a 7.882
_cell_length_b 10.052
_cell_length_c 7.712
_cell_angle_alpha 90.00
_cell_angle_beta 90.00
_cell_angle_gamma 90.00
loop_
_symmetry_equiv_pos_as_xyz
'x,y,z'
'-x,-y,-z'
'-x+1/2,-y+1/2,z'
'x+1/2,y+1/2,-z'
'x+1/2,-y,-z'
'-x+1/2,y,z'
'-x,y+1/2,-z'
'x,-y+1/2,z'
loop_
_atom_site_label
_atom_site_fract_x
_atom_site_fract_y
_atom_site_fract_z
K1 0.250 0.040 0.221
Cd1 0.036 0.250 0.867
Cd2 0.067 0.750 0.528
Cd3 0.250 0.502 0.705
In1 0.250 0.750 0.902
Pd1 0.250 0.250 0.594
# - electronic total energy (eV/atom) = -1.67



Record 10
# TaCo4 | Alexandria via LeMat-Bulk | PBE | optimized geometry
data_TaCo4
_chemical_formula_sum 'Ta1 Co4'
_symmetry_space_group_name_H-M 'P m -3 m'
_symmetry_Int_Tables_number 221
_symmetry_space_group_name_Hall '-P 4 2 3'
_cell_length_a 4.422
_cell_length_b 4.422
_cell_length_c 4.422
_cell_angle_alpha 90.00
_cell_angle_beta 90.00
_cell_angle_gamma 90.00
loop_
_atom_site_label
_atom_site_fract_x
_atom_site_fract_y
_atom_site_fract_z
Ta1 0.000 0.000 0.000
Co1 0.000 0.000 0.500
Co2 0.500 0.500 0.500
# - electronic total energy (eV/atom) = -6.40



Record 11
# Np3PtS6 | Alexandria via LeMat-Bulk | PBE | optimized geometry
data_Np3PtS6
_chemical_formula_sum 'Np12 Pt4 S24'
_symmetry_space_group_name_H-M 'C m c 21'
_symmetry_Int_Tables_number 36
_cell_length_a 10.643
_cell_length_b 13.089
_cell_length_c 6.273
_cell_angle_alpha 90.00
_cell_angle_beta 90.00
_cell_angle_gamma 90.00
loop_
_symmetry_equiv_pos_as_xyz
'x,y,z'
'-x,-y,z+1/2'
'-x,y,z'
'x,-y,z+1/2'
'x+1/2,y+1/2,z'
'-x+1/2,-y+1/2,z+1/2'
'-x+1/2,y+1/2,z'
'x+1/2,-y+1/2,z+1/2'
loop_
_atom_site_label
_atom_site_fract_x
_atom_site_fract_y
_atom_site_fract_z
Np1 0.000 0.110 0.000
Np2 0.173 0.397 0.080
Pt1 0.000 0.306 0.673
S1 0.000 0.277 0.284
S2 0.000 0.476 0.797
S3 0.162 0.028 0.287
S4 0.182 0.229 0.824
# - E_form (uncorrected) (eV per atom) = -1.105



Record 12
# KCrSe2 | Alexandria via LeMat-Bulk | PBE | optimized geometry
data_KCrSe2
_chemical_formula_sum 'K2 Cr2 Se4'
_symmetry_space_group_name_H-M 'I -4 m 2'
_symmetry_Int_Tables_number 119
_symmetry_space_group_name_Hall 'I -4 -2'
_cell_length_a 4.187
_cell_length_b 4.187
_cell_length_c 10.715
_cell_angle_alpha 90.00
_cell_angle_beta 90.00
_cell_angle_gamma 90.00
loop_
_atom_site_label
_atom_site_fract_x
_atom_site_fract_y
_atom_site_fract_z
K1 0.000 0.000 0.000
Cr1 0.000 0.500 0.250
Se1 0.000 0.000 0.500
Se2 0.000 0.500 0.750
# - E_form (uncorrected) (eV per atom) = 0.016



Record 13
# CaAc2Al | Alexandria via LeMat-Bulk | PBE | optimized geometry
data_CaAc2Al
_chemical_formula_sum 'Ca3 Ac6 Al3'
_symmetry_space_group_name_H-M 'R -3 m'
_symmetry_Int_Tables_number 166
_symmetry_space_group_name_Hall '-R 3 2"'
_cell_length_a 3.8832
_cell_length_b 3.8832
_cell_length_c 37.3144
_cell_angle_alpha 90.00
_cell_angle_beta 90.00
_cell_angle_gamma 120.00
loop_
_atom_site_label
_atom_site_fract_x
_atom_site_fract_y
_atom_site_fract_z
Ca1 0.0000 0.0000 0.0000
Ac1 0.0000 0.0000 0.1028
Al1 0.0000 0.0000 0.5000
# - electronic total energy (eV/atom) = -3.37



Record 14
# BaTa | Alexandria via LeMat-Bulk | PBE | optimized geometry
data_BaTa
_chemical_formula_sum 'Ba8 Ta8'
_symmetry_space_group_name_H-M 'I 4/m'
_symmetry_Int_Tables_number 87
_symmetry_space_group_name_Hall '-I 4'
_cell_length_a 14.596
_cell_length_b 14.596
_cell_length_c 3.296
_cell_angle_alpha 90.00
_cell_angle_beta 90.00
_cell_angle_gamma 90.00
loop_
_atom_site_label
_atom_site_fract_x
_atom_site_fract_y
_atom_site_fract_z
Ba1 0.038 0.719 0.000
Ta1 0.181 0.250 0.000
# - electronic total energy (eV/atom) = -5.61



Record 15
# Zr3RuO | Alexandria via LeMat-Bulk | PBE | optimized geometry
data_Zr3RuO
_chemical_formula_sum 'Zr3 Ru1 O1'
_symmetry_space_group_name_H-M 'P m -3 m'
_symmetry_Int_Tables_number 221
_symmetry_space_group_name_Hall '-P 4 2 3'
_cell_length_a 4.421
_cell_length_b 4.421
_cell_length_c 4.421
_cell_angle_alpha 90.00
_cell_angle_beta 90.00
_cell_angle_gamma 90.00
loop_
_atom_site_label
_atom_site_fract_x
_atom_site_fract_y
_atom_site_fract_z
Zr1 0.000 0.000 0.500
Ru1 0.500 0.500 0.500
O1 0.000 0.000 0.000
# - E_form (uncorrected) (eV per atom) = -1.052



Record 16
# Pt3RhO | Alexandria via LeMat-Bulk | PBE | optimized geometry
data_Pt3RhO
_chemical_formula_sum 'Pt3 Rh1 O1'
_symmetry_space_group_name_H-M 'P m -3 m'
_symmetry_Int_Tables_number 221
_symmetry_space_group_name_Hall '-P 4 2 3'
_cell_length_a 4.216
_cell_length_b 4.216
_cell_length_c 4.216
_cell_angle_alpha 90.00
_cell_angle_beta 90.00
_cell_angle_gamma 90.00
loop_
_atom_site_label
_atom_site_fract_x
_atom_site_fract_y
_atom_site_fract_z
Pt1 0.000 0.000 0.500
Rh1 0.500 0.500 0.500
O1 0.000 0.000 0.000
# - E_form (uncorrected) (eV per atom) = 0.647



Record 17
# Rb3Zn2Sb4Pb2 | Alexandria via LeMat-Bulk | PBE | optimized geometry
data_Rb3Zn2Sb4Pb2
_chemical_formula_sum 'Rb3 Zn2 Sb4 Pb2'
_symmetry_space_group_name_H-M 'P -3 m 1'
_symmetry_Int_Tables_number 164
_symmetry_space_group_name_Hall '-P 3 2"'
_cell_length_a 4.5462
_cell_length_b 4.5462
_cell_length_c 22.9369
_cell_angle_alpha 90.00
_cell_angle_beta 90.00
_cell_angle_gamma 120.00
loop_
_atom_site_label
_atom_site_fract_x
_atom_site_fract_y
_atom_site_fract_z
Rb1 0.0000 0.0000 0.0000
Rb2 0.0000 0.0000 0.2529
Zn1 0.3333 0.6667 0.1257
Sb1 0.3333 0.6667 0.3667
Sb2 0.3333 0.6667 0.8752
Pb1 0.3333 0.6667 0.5648
# - E_form (uncorrected) (eV per atom) = -0.262



Record 18
# KLa3Mn | Alexandria via LeMat-Bulk | PBE | optimized geometry
data_KLa3Mn
_chemical_formula_sum 'K1 La3 Mn1'
_symmetry_space_group_name_H-M 'P m -3 m'
_symmetry_Int_Tables_number 221
_symmetry_space_group_name_Hall '-P 4 2 3'
_cell_length_a 5.612
_cell_length_b 5.612
_cell_length_c 5.612
_cell_angle_alpha 90.00
_cell_angle_beta 90.00
_cell_angle_gamma 90.00
loop_
_atom_site_label
_atom_site_fract_x
_atom_site_fract_y
_atom_site_fract_z
K1 0.000 0.000 0.000
La1 0.000 0.500 0.500
Mn1 0.500 0.500 0.500
# - electronic total energy (eV/atom) = -4.70



Record 19
# Ho4Tm5 | Alexandria via LeMat-Bulk | PBE | optimized geometry
data_Ho4Tm5
_chemical_formula_sum 'Ho8 Tm10'
_symmetry_space_group_name_H-M 'I m m m'
_symmetry_Int_Tables_number 71
_symmetry_space_group_name_Hall '-I 2 2'
_cell_length_a 3.562
_cell_length_b 11.900
_cell_length_c 12.866
_cell_angle_alpha 90.00
_cell_angle_beta 90.00
_cell_angle_gamma 90.00
loop_
_atom_site_label
_atom_site_fract_x
_atom_site_fract_y
_atom_site_fract_z
Ho1 0.000 0.144 0.190
Tm1 0.000 0.206 0.500
Tm2 0.000 0.500 0.126
Tm3 0.000 0.500 0.500
# - electronic total energy (eV/atom) = -4.48



Record 20
# LiPtRh2 | Alexandria via LeMat-Bulk | PBE | optimized geometry
data_LiPtRh2
_chemical_formula_sum 'Li1 Pt1 Rh2'
_symmetry_space_group_name_H-M 'P m m m'
_symmetry_Int_Tables_number 47
_cell_length_a 2.761
_cell_length_b 4.494
_cell_length_c 4.579
_cell_angle_alpha 90.00
_cell_angle_beta 90.00
_cell_angle_gamma 90.00
loop_
_symmetry_equiv_pos_as_xyz
'x,y,z'
'-x,-y,-z'
'-x,-y,z'
'x,y,-z'
'x,-y,-z'
'-x,y,z'
'-x,y,-z'
'x,-y,z'
loop_
_atom_site_label
_atom_site_fract_x
_atom_site_fract_y
_atom_site_fract_z
Li1 0.000 0.000 0.000
Pt1 0.500 0.500 0.000
Rh1 0.000 0.500 0.500
Rh2 0.500 0.000 0.500
# - electronic total energy (eV/atom) = -5.77



Computed V, in the same sequence as the records: 13.247; 25.889; 36.159; 14.325; 25.148; 20.097; 61.166; 25.815; 30.547; 17.291; 21.845; 23.480; 40.608; 43.891; 17.279; 14.993; 37.322; 35.343; 30.295; 14.205 Å³ per atom.